(1)
Here is Cs2BaNpF8 after structural relaxation from Alexandria via LeMat-Bulk. Energies are from PBE.

VASP energy, eV for the cell shown: -71.953
ρ, g/cm³: 5.24
Crystal system: tetragonal

Geometry as POSCAR:
```
Cs2BaNpF8
1.0
6.5160 0.0000 0.0000
0.0000 6.5160 0.0000
-3.2580 -3.2580 5.9080
Ba F Cs Np
1 8 2 1
Cartesian
3.2580 3.2580 0.0000
1.2631 -1.8542 4.2878
1.2631 1.8542 4.2878
5.1122 4.5211 1.6202
1.4038 4.5211 1.6202
5.1122 1.9949 1.6202
1.4038 1.9949 1.6202
-1.2631 1.8542 4.2878
-1.2631 -1.8542 4.2878
0.0000 0.0000 0.0000
3.2580 0.0000 2.9540
0.0000 3.2580 2.9540
```


(2)
Here is CsBaOF after structural relaxation from Alexandria via LeMat-Bulk. Energies are from PBE.

VASP energy, eV for the cell shown: -19.421
ρ, g/cm³: 4.62
Crystal system: trigonal

Geometry as POSCAR:
```
CsBaOF
1.0
-1.8624 1.1492 -3.5330
1.6989 -0.9895 -3.6614
-3.7795 -6.2912 -0.0474
F O Cs Ba
1 1 1 1
Cartesian
-0.1872 -0.0132 -4.9726
-2.4251 -3.8826 -2.6013
-0.9958 -1.5030 -2.5857
-2.8585 -4.7477 -0.2103
```


(3)
Here is CsBa2PF after structural relaxation from Alexandria via LeMat-Bulk. Energies are from PBE.

VASP energy, eV for the cell shown: -16.664
ρ, g/cm³: 2.78
Crystal system: tetragonal

Geometry as POSCAR:
```
CsBa2PF
1.0
6.1502 0.0000 0.0000
0.0000 7.2149 0.0000
0.0000 0.0000 6.1502
P Cs Ba F
1 1 2 1
Cartesian
0.0000 0.0000 0.0000
0.0000 3.6074 0.0000
0.0000 0.0000 3.0751
3.0751 0.0000 0.0000
3.0751 3.6074 3.0751
```


(4)
Here is Cs2BaPF6 after structural relaxation from Alexandria via LeMat-Bulk. Energies are from PBE.

VASP energy, eV for the cell shown: -46.344
ρ, g/cm³: 3.65
Crystal system: tetragonal

Geometry as POSCAR:
```
Cs2BaPF6
1.0
6.3844 0.0000 0.0000
0.0000 6.3844 0.0000
3.1922 3.1922 6.1121
F P Cs Ba
6 1 2 1
Cartesian
1.8222 1.8222 0.0000
1.8222 4.5623 0.0000
3.1922 3.1922 3.5702
4.5623 4.5623 0.0000
4.5623 1.8222 0.0000
6.3844 6.3844 2.5419
3.1922 3.1922 0.0000
6.3844 3.1922 3.0561
3.1922 6.3844 3.0561
0.0000 0.0000 0.0000
```


(5)
Here is Cs2BaPbF6 after structural relaxation from Alexandria via LeMat-Bulk. Energies are from PBE.

VASP energy, eV for the cell shown: -47.821
ρ, g/cm³: 4.76
Crystal system: cubic
Excess energy over the best structure of this formula in the dataset, kJ per mole of atoms: 0.0

Geometry as POSCAR:
```
Cs2BaPbF6
1.0
7.0957 0.0000 0.0000
0.0000 7.0957 0.0000
3.5479 3.5479 5.0182
F Ba Cs Pb
6 1 2 1
Cartesian
1.7337 1.7337 0.0000
7.0957 7.0957 2.4522
1.7337 5.3621 0.0000
5.3621 5.3621 0.0000
3.5479 3.5479 2.5661
5.3621 1.7337 0.0000
3.5479 3.5479 0.0000
3.5479 7.0957 2.5091
7.0957 3.5479 2.5091
0.0000 0.0000 0.0000
```


(6)
Here is Cs2BaPbF after structural relaxation from Alexandria via LeMat-Bulk. Energies are from PBE.

VASP energy, eV for the cell shown: -14.848
ρ, g/cm³: 5.15
Crystal system: tetragonal

Geometry as POSCAR:
```
Cs2BaPbF
1.0
5.8800 0.0000 0.0000
0.0000 5.8800 0.0000
0.0000 0.0000 5.8710
Cs Ba F Pb
2 1 1 1
Cartesian
2.9400 0.0000 0.0000
0.0000 2.9400 0.0000
0.0000 0.0000 2.9355
0.0000 0.0000 0.0000
2.9400 2.9400 2.9355
```


(7)
Here is Cs3BaPb2F9 after structural relaxation from Alexandria via LeMat-Bulk. Energies are from PBE.

VASP energy, eV for the cell shown: -70.706
ρ, g/cm³: 5.01
Crystal system: trigonal

Geometry as POSCAR:
```
Cs3BaPb2F9
1.0
-0.4169 -2.5582 6.4998
6.0102 2.7491 -2.2992
-2.4792 7.8818 2.9431
F Ba Pb Cs
9 1 2 3
Cartesian
3.9374 3.1005 3.3511
-0.8233 4.9721 3.7927
1.9657 5.0673 5.8872
2.7966 0.0954 2.1003
4.1453 4.3761 0.1100
1.1484 3.0054 1.2565
3.0051 1.3745 -1.1496
-1.0312 3.6965 7.0337
-0.2085 -1.2791 3.2499
-1.2396 3.9409 1.4716
-0.3397 5.7763 6.0184
3.4538 2.2964 1.1253
0.0000 0.0000 0.0000
2.1139 6.5561 2.7160
1.0002 1.5165 4.4278
```


(8)
Here is Cs2BaPbF6 after structural relaxation from Alexandria via LeMat-Bulk. Energies are from PBE.

VASP energy, eV for the cell shown: -47.776
ρ, g/cm³: 4.74
Crystal system: tetragonal
Excess energy over the best structure of this formula in the dataset, kJ per mole of atoms: 0.4

Geometry as POSCAR:
```
Cs2BaPbF6
1.0
-1.6017 -1.9946 4.3341
4.6532 -1.6626 0.9545
2.0984 8.5866 4.7272
F Ba Cs Pb
6 1 2 1
Cartesian
2.3266 -0.8313 0.4772
3.3758 3.4620 2.8408
3.0795 4.5293 6.1445
0.2483 3.2960 4.5306
-0.8008 -0.9973 2.1670
2.0704 0.4000 3.8712
1.5258 -1.8286 2.6443
0.5497 2.2494 1.2384
1.5487 6.3372 3.4888
2.5750 2.4647 5.0079
```


(9)
Here is CsBaPdF6 after structural relaxation from Alexandria via LeMat-Bulk. Energies are from PBE.

VASP energy, eV for the cell shown: -84.150
ρ, g/cm³: 4.32
Crystal system: orthorhombic

Geometry as POSCAR:
```
CsBaPdF6
1.0
-6.8578 -2.1606 4.6408
0.6622 -7.9548 -2.7250
6.1953 3.9278 3.0932
F Pd Cs Ba
12 2 2 2
Cartesian
-3.4218 -5.4818 2.8760
-1.2236 0.0436 6.1025
-1.1669 -4.7714 1.3501
3.7141 -4.2208 0.9290
1.2233 -6.2312 -1.0934
2.5788 0.9876 4.2706
-1.4596 -1.2564 2.5542
-3.7144 -1.9668 4.0801
-2.5791 -7.1752 0.7385
1.1666 -1.4162 3.6589
3.4215 -0.7058 2.1330
1.4593 -4.9312 2.4548
-3.0978 -5.0577 0.9579
-3.4289 -1.0803 2.3204
-1.1683 -3.8333 4.3793
1.1680 -2.3544 0.6298
-0.3313 0.8836 3.8670
3.0976 1.9639 1.5466
```


(10)
Here is Cs2BaPdF6 after structural relaxation from Alexandria via LeMat-Bulk. Energies are from PBE.

VASP energy, eV for the cell shown: -45.359
ρ, g/cm³: 4.05
Crystal system: trigonal

Geometry as POSCAR:
```
Cs2BaPdF6
1.0
6.6704 0.0000 0.0000
0.0000 6.6549 0.0000
0.0000 -3.3275 5.7633
Cs Pd F Ba
2 1 6 1
Cartesian
0.7434 0.0000 3.8422
5.9269 3.3275 1.9211
0.0000 0.0000 0.0000
5.2906 1.8170 4.8913
5.2906 -1.8170 4.8913
5.2906 0.0000 1.7442
1.3798 1.5105 0.8721
1.3798 5.1444 0.8721
1.3798 3.3275 4.0192
3.3352 0.0000 0.0000
```


(11)
Here is CsBaPmF6 after structural relaxation from Alexandria via LeMat-Bulk. Energies are from PBE.

VASP energy, eV for the cell shown: -103.282
ρ, g/cm³: 4.12
Crystal system: orthorhombic

Geometry as POSCAR:
```
CsBaPmF6
1.0
-2.2507 1.1719 8.1614
-7.0050 -4.5915 -1.2725
7.5530 -3.1707 -1.9370
F Pm Cs Ba
12 2 2 2
Cartesian
-4.4873 -4.7224 -0.5594
-5.9305 -3.6062 3.3575
4.2278 -2.9842 1.5944
-0.9588 -0.6236 5.9599
2.3691 -3.9263 -0.4425
-4.0717 -2.6640 5.3945
-0.1241 -1.0582 2.9333
-0.7439 -5.9668 -1.0080
1.5344 -3.4917 2.5841
-1.5785 -5.5322 2.0187
-3.2371 -3.0986 2.3678
2.7847 -1.8680 5.5113
-4.6278 -1.7098 3.4445
-1.1253 0.5859 4.0807
-0.9185 -2.5373 0.1110
-0.7842 -4.0530 4.8409
3.7765 -1.5854 -0.9685
2.6512 -0.9994 3.1122
```


(12)
Here is Cs2BaPrF6 after structural relaxation from Alexandria via LeMat-Bulk. Energies are from PBE.

VASP energy, eV for the cell shown: -51.773
ρ, g/cm³: 4.50
Crystal system: orthorhombic

Geometry as POSCAR:
```
Cs2BaPrF6
1.0
-2.8005 6.1253 -1.9489
-4.5834 -3.4268 -4.0507
-6.7900 1.0817 0.8442
Cs F Pr Ba
2 6 1 1
Cartesian
-7.5751 -0.7259 -3.1533
-6.5988 4.5061 -2.0021
-4.1116 -0.8985 -3.4945
-12.0179 3.0909 -3.8526
-9.2692 2.6534 -4.1936
-4.9047 1.1268 -0.9619
-2.1559 0.6893 -1.3029
-10.0622 4.6787 -1.6610
-3.6919 1.3492 -2.9998
0.0000 0.0000 0.0000
```


(13)
Here is Cs2BaPtF6 after structural relaxation from Alexandria via LeMat-Bulk. Energies are from PBE.

VASP energy, eV for the cell shown: -45.251
ρ, g/cm³: 5.32
Crystal system: tetragonal

Geometry as POSCAR:
```
Cs2BaPtF6
1.0
-3.4513 0.0081 -5.8643
2.9746 -5.8617 -1.7587
-3.8051 -5.3656 -1.7157
F Ba Pt Cs
6 1 1 2
Cartesian
1.4655 -4.4832 -2.7228
-0.3648 -4.4790 -5.8327
-2.1484 -6.9967 -6.6407
-1.9422 -1.3704 -4.9001
-2.1335 -4.2226 -2.6979
-0.1120 -1.3747 -1.7902
-0.2384 -2.9268 -3.8115
0.0000 0.0000 0.0000
-3.7474 -4.1422 -5.6957
-0.5344 -7.0771 -3.6429
```


(14)
Here is Cs2BaPuF8 after structural relaxation from Alexandria via LeMat-Bulk. Energies are from PBE.

VASP energy, eV for the cell shown: -73.067
ρ, g/cm³: 5.31
Crystal system: tetragonal

Geometry as POSCAR:
```
Cs2BaPuF8
1.0
6.5059 0.0000 0.0000
0.0000 6.5059 0.0000
-3.2530 -3.2530 5.9053
F Pu Ba Cs
8 1 1 2
Cartesian
1.2592 -1.8561 4.2860
5.1091 1.9937 1.6193
5.1091 4.5122 1.6193
-1.2592 -1.8561 4.2860
1.2592 1.8561 4.2860
-1.2592 1.8561 4.2860
1.3968 1.9937 1.6193
1.3968 4.5122 1.6193
0.0000 3.2530 2.9526
3.2530 3.2530 0.0000
0.0000 0.0000 0.0000
3.2530 0.0000 2.9526
```


(15)
Here is Cs2BaPuF6 after structural relaxation from Alexandria via LeMat-Bulk. Energies are from PBE.

VASP energy, eV for the cell shown: -60.369
ρ, g/cm³: 5.02
Crystal system: cubic

Geometry as POSCAR:
```
Cs2BaPuF6
1.0
7.0885 -0.0002 -0.0017
0.0006 7.0882 -0.0016
3.5434 3.5428 5.0097
F Cs Ba Pu
6 2 1 1
Cartesian
5.3853 5.3845 5.0088
7.0885 7.0874 2.6009
5.2472 5.2464 -0.0024
3.5440 3.5435 2.4055
1.8422 5.2465 -0.0016
5.2469 1.8416 -0.0017
7.0882 3.5434 2.5032
3.5443 7.0875 2.5032
0.0000 0.0000 0.0000
3.5446 3.5440 -0.0017
```


(16)
Here is CsRb2BaF after structural relaxation from Alexandria via LeMat-Bulk. Energies are from PBE.

VASP energy, eV for the cell shown: -11.560
ρ, g/cm³: 2.13
Crystal system: tetragonal

Geometry as POSCAR:
```
CsRb2BaF
1.0
8.4446 0.0000 0.0000
0.0000 8.4446 0.0000
0.0000 0.0000 5.0240
Rb Ba Cs F
2 1 1 1
Cartesian
4.2223 0.0000 0.0000
0.0000 4.2223 0.0000
0.0000 0.0000 2.5120
4.2223 4.2223 2.5120
0.0000 0.0000 0.0000
```


(17)
Here is Cs2RbBaF after structural relaxation from Alexandria via LeMat-Bulk. Energies are from PBE.

VASP energy, eV for the cell shown: -11.492
ρ, g/cm³: 2.32
Crystal system: tetragonal

Geometry as POSCAR:
```
Cs2RbBaF
1.0
8.4651 0.0000 0.0000
0.0000 8.4651 0.0000
0.0000 0.0000 5.0735
Cs F Rb Ba
2 1 1 1
Cartesian
0.0000 4.2325 0.0000
4.2325 0.0000 0.0000
0.0000 0.0000 0.0000
4.2325 4.2325 2.5368
0.0000 0.0000 2.5368
```


(18)
Here is CsRbBaF4 after structural relaxation from Alexandria via LeMat-Bulk. Energies are from PBE.

VASP energy, eV for the cell shown: -32.878
ρ, g/cm³: 3.69
Crystal system: tetragonal

Geometry as POSCAR:
```
CsRbBaF4
1.0
5.1058 0.0000 0.0000
0.0000 5.1058 0.0000
-2.5529 -2.5529 7.4582
F Cs Rb Ba
4 1 1 1
Cartesian
0.0000 2.5529 7.3745
0.0000 0.0000 2.6254
2.5529 2.5529 4.9246
2.5529 0.0000 7.3745
2.5529 2.5529 2.2183
0.0000 0.0000 5.2923
0.0000 0.0000 0.0234
```


(19)
Here is CsBaRhF6 after structural relaxation from Alexandria via LeMat-Bulk. Energies are from PBE.

VASP energy, eV for the cell shown: -90.039
ρ, g/cm³: 4.46
Crystal system: orthorhombic

Geometry as POSCAR:
```
CsBaRhF6
1.0
8.7424 0.0000 0.0000
0.0000 7.7013 0.0000
-4.3712 -3.8506 5.3844
F Cs Ba Rh
12 2 2 2
Cartesian
2.9462 3.5469 1.3832
-1.4250 3.5469 4.0012
1.4250 0.3038 4.0012
5.7962 0.3038 1.3832
-1.4250 0.3038 4.0012
1.4250 3.5469 4.0012
2.9462 0.3038 1.3832
0.0000 5.7759 1.3536
5.7962 3.5469 1.3832
0.0000 -1.9253 4.6826
4.3712 -1.9253 4.0308
4.3712 5.7759 0.7018
4.3712 1.9253 3.7395
0.0000 1.9253 1.6449
2.1856 -1.9253 2.6922
-2.1856 -1.9253 2.6922
4.3712 0.0000 0.0000
4.3712 3.8506 0.0000
```


(20)
Here is Cs2BaRhF6 after structural relaxation from Alexandria via LeMat-Bulk. Energies are from PBE.

VASP energy, eV for the cell shown: -47.790
ρ, g/cm³: 4.78
Crystal system: tetragonal

Geometry as POSCAR:
```
Cs2BaRhF6
1.0
-6.4928 -0.7645 0.5237
0.6176 -0.8065 6.4795
-3.4645 4.1444 4.1654
Ba F Cs Rh
1 6 2 1
Cartesian
0.0000 0.0000 0.0000
-1.6218 -0.4336 1.9331
-6.1430 0.9340 7.3405
-4.5301 -0.7761 2.1677
-3.1968 1.6394 3.8281
-1.3451 -0.7949 4.8355
-4.2535 -1.1373 5.0701
-6.4475 1.2972 4.0954
-2.8923 1.2762 7.0733
-2.9376 -0.7855 3.5016
```


(21)
Here is CsBaRhF2 after structural relaxation from Alexandria via LeMat-Bulk. Energies are from PBE.

VASP energy, eV for the cell shown: -18.501
ρ, g/cm³: 4.56
Crystal system: tetragonal

Geometry as POSCAR:
```
CsBaRhF2
1.0
5.4842 0.0000 0.0000
0.0000 4.9809 0.0000
0.0000 0.0000 5.4842
Ba Rh Cs F
1 1 1 2
Cartesian
0.0000 2.4904 0.0000
0.0000 0.0000 0.0000
2.7421 2.4904 2.7421
0.0000 0.0000 2.7421
2.7421 0.0000 0.0000
```


(22)
Here is Cs2BaSF6 after structural relaxation from Alexandria via LeMat-Bulk. Energies are from PBE.

VASP energy, eV for the cell shown: -43.884
ρ, g/cm³: 3.63
Crystal system: tetragonal

Geometry as POSCAR:
```
Cs2BaSF6
1.0
6.3334 0.0000 0.0000
0.0000 6.3334 0.0000
3.1667 3.1667 6.2568
F Ba Cs S
6 1 2 1
Cartesian
4.5232 1.8102 0.0000
1.8102 4.5232 0.0000
4.5232 4.5232 0.0000
6.3334 6.3334 2.5365
1.8102 1.8102 0.0000
3.1667 3.1667 3.7203
0.0000 0.0000 0.0000
6.3334 3.1667 3.1284
3.1667 6.3334 3.1284
3.1667 3.1667 0.0000
```